VASP calculation (GGA-PBE) on a relaxed structure of Ge2As2Br.

The total DFT energy (no corrections) comes out at -3.84 eV/atom. The calculation puts the volume at 23.92 A^3/atom. As for the raw formation energy: 0.20 eV per atom. Its density of states at the Fermi level is 0.8616 states/eV per atom.

The structure belongs to space group P4/mbm (No. 127); the cell edges are 8.2162, 8.2162 and 3.5440 Å and the angles 90.00°, 90.00° and 90.00°. The asymmetric unit holds Ge at (0.1425, 0.3575, 0.0000), As at (0.1133, 0.6133, 0.5000) and Br at (0.0000, 0.0000, 0.0000).